First-principles (PBE-GGA) data for crystalline Zn2InBiSe at its relaxed geometry, as listed in the Alexandria database.

Formation energy from raw total energies   0.303 eV/atom
VASP energy   -2.228 eV per atom

a = 4.9977 Å, b = 4.9977 Å, c = 5.8253 Å
α = 90.00°, β = 90.00°, γ = 90.00°
With the nearest neighbours (Å) after each atom.
Positions (direct):
Zn1 0.0000 0.5000 0.0000  2 Se 2.50
Zn2 0.5000 0.0000 0.0000  2 Se 2.50
In1 0.0000 0.0000 0.5000  4 Bi 3.53, 8 Zn 3.84
Bi1 0.5000 0.5000 0.5000  2 Se 2.91
Se1 0.5000 0.5000 0.0000  4 Zn 2.50